Record 1
VASP calculation (PBE) on a geometry-optimized Y2TiTlO structure.

The structure belongs to space group P4/mmm (No. 123); the cell edges are 4.929, 4.929 and 4.129 Å and the angles 90.00°, 90.00° and 90.00°. The distinct sites, in fractional coordinates, are Y at (0.000, 0.500, 0.000), Ti at (0.000, 0.000, 0.500), Tl at (0.500, 0.500, 0.500) and O at (0.000, 0.000, 0.000).

The uncorrected formation energy is -1.23 eV/atom. The calculated volume is 20.07 A^3/atom.



Record 2
VASP calculation (PBE) on a geometry-optimized Pa2HgW structure.

The structure belongs to space group R-3m (No. 166, hexagonal axes); the cell edges are 3.1524, 3.1524 and 33.5266 Å and the angles 90.00°, 90.00° and 120.00°. The distinct sites, in fractional coordinates, are Pa at (0.0000, 0.0000, 0.0971), Hg at (0.0000, 0.0000, 0.0000) and W at (0.0000, 0.0000, 0.5000).

For the energy relative to the elements, the calculation gives 1.76 eV per formula unit. The calculated volume is 24.04 A^3/atom. Its energy above the most stable polymorph in this dataset is 0.2813 eV per atom.



Record 3
VASP calculation (PBE) on a geometry-optimized MgAs5 structure.

The structure belongs to space group P6/mmm (No. 191); the cell edges are 5.4713, 5.4713 and 5.0166 Å and the angles 90.00°, 90.00° and 120.00°. The distinct sites, in fractional coordinates, are Mg at (0.0000, 0.0000, 0.0000), As at (0.0000, 0.5000, 0.5000) and As at (0.3333, 0.6667, 0.0000).

For the energy relative to the elements, the calculation gives 1.97 eV per formula unit. The calculated volume is 21.68 A^3/atom. Its energy above the most stable polymorph in this dataset is 0.2937 eV per atom.



Record 4
VASP calculation (PBE) on a geometry-optimized NdPuPt10 structure.

The structure belongs to space group Pmmm (No. 47); the cell edges are 4.439, 5.407 and 9.341 Å and the angles 90.00°, 90.00° and 90.00°. The distinct sites, in fractional coordinates, are Nd at (0.000, 0.000, 0.000), Pu at (0.000, 0.500, 0.500), Pt at (0.000, 0.000, 0.335), Pt at (0.000, 0.500, 0.169), Pt at (0.500, 0.000, 0.500), Pt at (0.500, 0.251, 0.251) and Pt at (0.500, 0.500, 0.000).

For the energy relative to the elements, the calculation gives -7.47 eV per formula unit. The calculated volume is 18.68 A^3/atom.



Record 5
VASP calculation (PBE) on a geometry-optimized PmTm2Zn2In2 structure.

The structure belongs to space group R-3m (No. 166, hexagonal axes); the cell edges are 4.7189, 4.7189 and 27.1213 Å and the angles 90.00°, 90.00° and 120.00°. The distinct sites, in fractional coordinates, are Pm at (0.0000, 0.0000, 0.0000), Tm at (0.0000, 0.0000, 0.1289), Zn at (0.0000, 0.0000, 0.4047) and In at (0.0000, 0.0000, 0.2591).

For the energy relative to the elements, the calculation gives -1.92 eV per formula unit. The calculated volume is 24.91 A^3/atom.



Record 6
VASP calculation (PBE) on a geometry-optimized LiBiPb structure.

The structure belongs to space group F-43m (No. 216); the cell edges are 6.914, 6.914 and 6.914 Å and the angles 90.00°, 90.00° and 90.00°. The distinct sites, in fractional coordinates, are Li at (0.000, 0.000, 0.000), Bi at (0.250, 0.250, 0.250) and Pb at (0.250, 0.250, 0.750).

For the energy relative to the elements, the calculation gives -0.60 eV per formula unit. The calculated volume is 27.55 A^3/atom. Its energy above the most stable polymorph in this dataset is 0.0000 eV per atom.



Record 7
VASP calculation (PBE) on a geometry-optimized Pr3Co5H12 structure.

The structure belongs to space group Ia-3d (No. 230); the cell edges are 11.494, 11.494 and 11.494 Å and the angles 90.00°, 90.00° and 90.00°. The distinct sites, in fractional coordinates, are Pr at (0.000, 0.250, 0.125), Co at (0.000, 0.000, 0.000), Co at (0.000, 0.250, 0.375) and H at (0.042, 0.043, 0.636).

The calculated volume is 9.49 A^3/atom. The energy comes out at -0.171 Ha/atom.



Record 8
VASP calculation (PBE) on a geometry-optimized KBa2O structure.

The structure belongs to space group R-3m (No. 166, hexagonal axes); the cell edges are 4.0619, 4.0619 and 34.8917 Å and the angles 90.00°, 90.00° and 120.00°. The distinct sites, in fractional coordinates, are K at (0.0000, 0.0000, 0.0000), Ba at (0.0000, 0.0000, 0.1230) and O at (0.0000, 0.0000, 0.5000).

The uncorrected formation energy is -1.06 eV/atom. The calculated volume is 41.55 A^3/atom.



Record 9
VASP calculation (PBE) on a geometry-optimized MgH8Cl2O4 structure.

The structure belongs to space group Pbcn (No. 60); the cell edges are 7.661, 8.402 and 10.870 Å and the angles 90.00°, 90.00° and 90.00°. The distinct sites, in fractional coordinates, are Mg at (0.000, 0.123, 0.250), H at (0.074, 0.440, 0.200), H at (0.077, 0.195, 0.702), H at (0.184, 0.217, 0.453), H at (0.196, 0.032, 0.451), Cl at (0.231, 0.379, 0.606), O at (0.000, 0.124, 0.750), O at (0.000, 0.369, 0.250) and O at (0.167, 0.124, 0.399).

The calculated volume is 11.66 A^3/atom. The energy comes out at -0.173 Ha/atom.



Record 10
VASP calculation (PBE) on a geometry-optimized AgOsPb2 structure.

The structure belongs to space group R3m (No. 160, hexagonal axes); the cell edges are 3.1468, 3.1468 and 32.2480 Å and the angles 90.00°, 90.00° and 120.00°. The distinct sites, in fractional coordinates, are Ag at (0.0000, 0.0000, 0.0000), Os at (0.0000, 0.0000, 0.7349), Pb at (0.0000, 0.0000, 0.2539) and Pb at (0.0000, 0.0000, 0.4717).

For the energy relative to the elements, the calculation gives 2.77 eV per formula unit. The calculated volume is 23.05 A^3/atom. Its energy above the most stable polymorph in this dataset is 0.0895 eV per atom.



Record 11
VASP calculation (PBE) on a geometry-optimized LiLu2Sn structure.

The structure belongs to space group R-3m (No. 166, hexagonal axes); the cell edges are 3.3671, 3.3671 and 34.0957 Å and the angles 90.00°, 90.00° and 120.00°. The distinct sites, in fractional coordinates, are Li at (0.0000, 0.0000, 0.0000), Lu at (0.0000, 0.0000, 0.4102) and Sn at (0.0000, 0.0000, 0.5000).

For the energy relative to the elements, the calculation gives 0.71 eV per formula unit. The calculated volume is 27.90 A^3/atom. Its energy above the most stable polymorph in this dataset is 0.5509 eV per atom.



Record 12
VASP calculation (PBE) on a geometry-optimized Sr2CuSiHg structure.

The structure belongs to space group P4/mmm (No. 123); the cell edges are 5.881, 5.881 and 4.371 Å and the angles 90.00°, 90.00° and 90.00°. The distinct sites, in fractional coordinates, are Sr at (0.000, 0.500, 0.000), Cu at (0.000, 0.000, 0.000), Si at (0.000, 0.000, 0.500) and Hg at (0.500, 0.500, 0.500).

The uncorrected formation energy is -0.24 eV/atom. The calculated volume is 30.24 A^3/atom.